No. 1
DFT (GGA-PBE) results for a relaxed Al2O3 crystal.

```
10
Lattice="2.857 0.000 0.000 0.001 4.961 0.000 0.009 1.432 9.143" Properties=species:S:1:pos:R:3 pbc="T T T"
Al 2.858 0.890 1.703
Al 0.009 5.503 7.440
Al 1.430 3.412 3.297
Al 1.437 2.981 5.847
O 0.008 2.073 6.490
O 2.859 4.320 2.653
O 1.429 0.595 0.455
O 1.430 1.860 2.357
O 1.437 4.533 6.786
O 1.438 5.798 8.689
```

Calculated total energy (eV per atom): -6.825
Magnetization (μB per formula unit): 0.00
Crystal system: triclinic


No. 2
DFT (GGA-PBE) results for a relaxed Rb2NdGeTe4 crystal.

```
16
Lattice="-4.701 4.824 6.740 4.701 -4.824 6.740 4.701 4.824 -6.740" Properties=species:S:1:pos:R:3 pbc="T T T"
Rb 0.000 0.000 0.000
Rb -2.350 2.412 3.370
Rb 0.000 4.824 0.000
Rb 2.350 2.412 3.370
Nd 2.350 2.412 -3.370
Nd 2.350 -2.412 3.370
Ge 4.701 0.000 0.000
Ge 0.000 0.000 6.740
Te 4.701 -0.268 3.078
Te 2.786 2.412 -0.207
Te 6.615 2.412 -0.207
Te 4.701 4.556 -3.078
Te 0.000 0.268 9.817
Te -1.915 2.412 6.946
Te 1.915 2.412 6.946
Te 0.000 5.093 3.662
```

Calculated total energy (eV per atom): -3.790
Magnetization (μB per formula unit): 0.00
Crystal system: orthorhombic
DOS at the Fermi energy (states/eV/atom): 1.29


No. 3
DFT (GGA-PBE) results for a relaxed Li6Cu2Pd crystal.

```
9
Lattice="3.736 2.157 2.609 -3.736 2.157 2.609 0.000 -4.314 2.609" Properties=species:S:1:pos:R:3 pbc="T T T"
Li -1.253 -2.144 2.609
Li -2.483 -0.013 2.609
Li 1.253 -2.144 2.609
Li -1.231 2.157 2.609
Li 2.483 -0.013 2.609
Li 1.231 2.157 2.609
Cu 0.000 0.000 1.258
Cu 0.000 0.000 6.568
Pd 0.000 0.000 3.913
```

Calculated total energy (eV per atom): -2.903
Magnetization (μB per formula unit): 0.00
Energy relative to the lowest polymorph listed for this composition (meV per atom): 0
Crystal system: trigonal
DOS at the Fermi energy (states/eV/atom): 0.39
Energy relative to the elements (eV/atom): -0.140


No. 4
DFT (GGA-PBE) results for a relaxed TbYScRu crystal.

```
4
Lattice="0.000 3.582 3.582 3.582 0.000 3.582 3.582 3.582 0.000" Properties=species:S:1:pos:R:3 pbc="T T T"
Tb 0.000 0.000 0.000
Y 3.582 3.582 3.582
Sc 5.373 5.373 5.373
Ru 1.791 1.791 1.791
```

Calculated total energy (eV per atom): -6.689
Magnetization (μB per formula unit): 0.00
Crystal system: cubic
DOS at the Fermi energy (states/eV/atom): 1.27
Energy relative to the elements (eV/atom): -0.014


No. 5
DFT (GGA-PBE) results for a relaxed CrHS2 crystal.

```
8
Lattice="5.178 -2.445 0.000 5.178 2.445 0.000 -3.984 0.000 5.100" Properties=species:S:1:pos:R:3 pbc="T T T"
Cr 2.589 1.223 0.000
Cr 2.589 -1.223 0.000
H 1.527 0.000 0.620
H 4.844 0.000 4.480
S -1.112 0.000 3.151
S 4.374 0.000 0.749
S 1.997 0.000 4.351
S 7.484 0.000 1.950
```

Calculated total energy (eV per atom): -5.475
Magnetization (μB per formula unit): 1.07
Energy relative to the lowest polymorph listed for this composition (meV per atom): 297
Crystal system: monoclinic
DOS at the Fermi energy (states/eV/atom): 0.33


No. 6
DFT (GGA-PBE) results for a relaxed Ta5NbC4 crystal.

```
10
Lattice="6.860 -1.562 0.000 6.860 1.562 0.000 -1.499 0.000 6.099" Properties=species:S:1:pos:R:3 pbc="T T T"
Ta 0.000 0.000 0.000
Ta 4.312 0.000 1.047
Ta 3.606 0.000 4.003
Ta 8.614 0.000 2.095
Ta 7.908 0.000 5.052
Nb -0.750 0.000 3.049
C 1.422 0.000 3.576
C 6.450 0.000 1.489
C 5.770 0.000 4.609
C 10.799 0.000 2.523
```

Calculated total energy (eV per atom): -11.150
Magnetization (μB per formula unit): 0.00
Crystal system: monoclinic
DOS at the Fermi energy (states/eV/atom): 0.30
Energy relative to the elements (eV/atom): -0.527


No. 7
DFT (GGA-PBE) results for a relaxed LaCoP2 crystal.

```
4
Lattice="0.000 3.300 3.300 3.300 0.000 3.300 3.300 3.300 0.000" Properties=species:S:1:pos:R:3 pbc="T T T"
La 0.000 0.000 0.000
Co 1.650 1.650 1.650
P 3.300 3.300 3.300
P 4.950 4.950 4.950
```

Calculated total energy (eV per atom): -5.684
Magnetization (μB per formula unit): 1.15
Energy relative to the lowest polymorph listed for this composition (meV per atom): 950
Crystal system: cubic
DOS at the Fermi energy (states/eV/atom): 0.79
Energy relative to the elements (eV/atom): 0.029


No. 8
DFT (GGA-PBE) results for a relaxed TiNiPdC2 crystal.

```
5
Lattice="3.957 0.000 0.000 0.000 3.957 0.000 0.000 0.000 4.795" Properties=species:S:1:pos:R:3 pbc="T T T"
Ti 0.000 0.000 0.000
Ni 1.979 1.979 2.397
Pd 0.000 0.000 2.397
C 0.000 1.979 0.000
C 1.979 0.000 0.000
```

Calculated total energy (eV per atom): -5.719
Magnetization (μB per formula unit): 0.83
Energy relative to the lowest polymorph listed for this composition (meV per atom): 396
Crystal system: tetragonal
DOS at the Fermi energy (states/eV/atom): 1.44
Energy relative to the elements (eV/atom): 1.744


No. 9
DFT (GGA-PBE) results for a relaxed RhAuICl crystal.

```
4
Lattice="3.674 0.000 0.000 -1.360 5.056 0.000 -0.555 -1.986 6.058" Properties=species:S:1:pos:R:3 pbc="T T T"
Rh 0.000 0.000 0.000
Au 2.181 2.559 0.669
I -0.080 2.605 4.336
Cl 1.827 0.332 1.605
```

Calculated total energy (eV per atom): -3.484
Magnetization (μB per formula unit): 0.00
Energy relative to the lowest polymorph listed for this composition (meV per atom): 147
Crystal system: triclinic


No. 10
DFT (GGA-PBE) results for a relaxed UTaTiAl crystal.

```
4
Lattice="0.000 3.302 3.302 3.302 0.000 3.302 3.302 3.302 0.000" Properties=species:S:1:pos:R:3 pbc="T T T"
U 0.000 0.000 0.000
Ta 1.651 1.651 1.651
Ti 4.953 4.953 4.953
Al 3.302 3.302 3.302
```

Calculated total energy (eV per atom): -8.611
Magnetization (μB per formula unit): 0.80
Crystal system: cubic
DOS at the Fermi energy (states/eV/atom): 1.64
Energy relative to the elements (eV/atom): 0.084


No. 11
DFT (GGA-PBE) results for a relaxed PuBr3F crystal.

```
10
Lattice="7.395 0.000 0.000 -3.175 7.274 0.000 -0.440 -3.015 7.552" Properties=species:S:1:pos:R:3 pbc="T T T"
Pu 0.000 0.000 0.000
Pu 3.037 -2.201 5.982
Br -1.816 2.748 5.889
Br 0.432 -1.009 5.708
Br 2.536 0.701 1.123
Br 0.274 4.887 3.359
Br 3.811 5.176 1.567
Br 6.231 1.684 1.696
F 1.829 4.050 6.462
F 3.936 -0.394 6.118
```

Calculated total energy (eV per atom): -6.018
Magnetization (μB per formula unit): 4.00
Energy relative to the lowest polymorph listed for this composition (meV per atom): 0
Crystal system: triclinic
DOS at the Fermi energy (states/eV/atom): 1.89


No. 12
DFT (GGA-PBE) results for a relaxed B2C crystal.

```
12
Lattice="1.775 -6.765 0.000 1.775 6.765 0.000 0.000 0.000 3.512" Properties=species:S:1:pos:R:3 pbc="T T T"
B 1.775 5.897 2.634
B 0.961 2.097 1.879
B 1.775 3.349 0.878
B 0.961 -2.097 1.633
B 2.589 2.097 3.389
B 1.775 -3.349 2.634
B 2.589 -2.097 0.123
B 1.775 -5.897 0.878
C 0.944 0.000 0.000
C 1.775 0.881 2.634
C 1.775 -0.881 0.878
C 2.606 0.000 1.756
```

Calculated total energy (eV per atom): -7.071
Magnetization (μB per formula unit): 0.00
Energy relative to the lowest polymorph listed for this composition (meV per atom): 270
Crystal system: orthorhombic
DOS at the Fermi energy (states/eV/atom): 0.21
Energy relative to the elements (eV/atom): 0.455


No. 13
DFT (GGA-PBE) results for a relaxed DyHoCdCo crystal.

```
4
Lattice="3.421 0.000 0.000 0.000 3.421 0.000 0.000 0.000 7.610" Properties=species:S:1:pos:R:3 pbc="T T T"
Dy 0.000 0.000 0.000
Ho 0.000 0.000 4.377
Cd 1.710 1.710 2.200
Co 1.710 1.710 5.982
```

Calculated total energy (eV per atom): -4.562
Magnetization (μB per formula unit): 0.50
Energy relative to the lowest polymorph listed for this composition (meV per atom): 0
Crystal system: tetragonal
DOS at the Fermi energy (states/eV/atom): 0.60
Energy relative to the elements (eV/atom): -0.262


No. 14
DFT (GGA-PBE) results for a relaxed Nd5HoSn5 crystal.

```
11
Lattice="8.253 -3.088 0.000 8.253 3.088 0.000 -1.976 0.000 7.050" Properties=species:S:1:pos:R:3 pbc="T T T"
Nd 0.000 0.000 0.000
Nd 4.897 0.000 1.468
Nd 4.258 0.000 5.040
Nd 10.272 0.000 2.010
Nd 9.632 0.000 5.582
Ho -0.988 0.000 3.525
Sn 0.993 0.000 6.041
Sn 1.941 0.000 2.783
Sn 7.265 0.000 3.525
Sn 12.588 0.000 4.266
Sn 13.537 0.000 1.009
```

Calculated total energy (eV per atom): -4.887
Magnetization (μB per formula unit): 0.00
Crystal system: monoclinic
DOS at the Fermi energy (states/eV/atom): 0.70
Energy relative to the elements (eV/atom): -0.484


No. 15
DFT (GGA-PBE) results for a relaxed Mo2Pd3Rh crystal.

```
12
Lattice="4.662 -3.972 0.000 4.662 3.972 0.000 -0.177 0.000 5.120" Properties=species:S:1:pos:R:3 pbc="T T T"
Mo 4.662 2.553 0.000
Mo 4.574 2.244 2.560
Mo 4.574 -2.244 2.560
Mo 4.662 -2.553 0.000
Pd 2.299 1.290 3.936
Pd 1.694 0.000 1.507
Pd 2.299 -1.290 3.936
Pd 6.849 1.290 1.185
Pd 7.454 0.000 3.613
Pd 6.849 -1.290 1.185
Rh 4.255 0.000 1.237
Rh 4.893 0.000 3.883
```

Calculated total energy (eV per atom): -7.311
Magnetization (μB per formula unit): 0.00
Crystal system: monoclinic
DOS at the Fermi energy (states/eV/atom): 0.87
Energy relative to the elements (eV/atom): 0.121


No. 16
DFT (GGA-PBE) results for a relaxed PrPa2GaN5 crystal.

```
18
Lattice="1.670 -8.470 0.000 1.670 8.470 0.000 0.000 0.000 9.296" Properties=species:S:1:pos:R:3 pbc="T T T"
Pr 1.670 4.689 4.648
Pr 1.670 -4.689 0.000
Pa 1.670 6.914 1.734
Pa 1.670 6.758 7.462
Pa 1.670 -6.758 2.814
Pa 1.670 -6.914 6.382
Ga 1.670 0.900 9.049
Ga 1.670 -0.900 4.401
N 1.670 7.935 5.261
N 1.670 2.938 1.845
N 1.670 2.560 7.867
N 1.670 2.209 4.863
N 1.670 0.106 2.687
N 1.670 -0.106 7.335
N 1.670 -2.209 0.215
N 1.670 -2.560 3.219
N 1.670 -2.938 6.493
N 1.670 -7.935 0.613
```

Calculated total energy (eV per atom): -8.710
Magnetization (μB per formula unit): 0.00
Crystal system: orthorhombic
DOS at the Fermi energy (states/eV/atom): 0.38


No. 17
DFT (GGA-PBE) results for a relaxed Sm2GaRu3 crystal.

```
6
Lattice="2.757 1.592 4.238 -2.757 1.592 4.238 0.000 -3.183 4.238" Properties=species:S:1:pos:R:3 pbc="T T T"
Sm 0.000 0.000 1.594
Sm 0.000 0.000 11.120
Ga 0.000 0.000 6.357
Ru -1.378 -0.796 4.238
Ru -1.378 0.796 8.476
Ru 0.000 1.592 4.238
```

Calculated total energy (eV per atom): -7.074
Magnetization (μB per formula unit): 1.22
Crystal system: trigonal
DOS at the Fermi energy (states/eV/atom): 1.06
Energy relative to the elements (eV/atom): -0.358


No. 18
DFT (GGA-PBE) results for a relaxed Cr3ReS crystal.

```
5
Lattice="4.086 0.000 0.000 0.000 4.086 0.000 0.000 0.000 4.086" Properties=species:S:1:pos:R:3 pbc="T T T"
Cr 0.000 0.000 2.043
Cr 0.000 2.043 0.000
Cr 2.043 0.000 0.000
Re 2.043 2.043 2.043
S 0.000 0.000 0.000
```

Calculated total energy (eV per atom): -8.497
Magnetization (μB per formula unit): 0.00
Energy relative to the lowest polymorph listed for this composition (meV per atom): 0
Crystal system: cubic
DOS at the Fermi energy (states/eV/atom): 0.83


No. 19
DFT (GGA-PBE) results for a relaxed K2Zr2CrS6 crystal.

```
11
Lattice="3.160 -5.437 0.000 3.160 5.437 0.000 -2.203 0.000 7.607" Properties=species:S:1:pos:R:3 pbc="T T T"
K 3.160 3.576 0.000
K 3.160 -3.576 0.000
Zr 2.058 1.821 3.803
Zr 2.058 -1.821 3.803
Cr -1.102 0.000 3.803
S -0.092 1.707 5.254
S 0.895 0.000 2.365
S -0.092 -1.707 5.254
S 4.208 1.707 2.353
S 3.221 0.000 5.242
S 4.208 -1.707 2.353
```

Calculated total energy (eV per atom): -6.224
Magnetization (μB per formula unit): 2.08
Crystal system: monoclinic
DOS at the Fermi energy (states/eV/atom): 0.33


No. 20
DFT (GGA-PBE) results for a relaxed TaCr2Mo crystal.

```
4
Lattice="3.058 0.000 0.000 0.000 3.058 0.000 0.000 0.000 6.162" Properties=species:S:1:pos:R:3 pbc="T T T"
Ta 0.000 0.000 0.000
Cr 0.000 0.000 2.961
Cr 1.529 1.529 1.558
Mo 1.529 1.529 4.432
```

Calculated total energy (eV per atom): -10.454
Magnetization (μB per formula unit): 0.00
Energy relative to the lowest polymorph listed for this composition (meV per atom): 49
Crystal system: tetragonal
DOS at the Fermi energy (states/eV/atom): 0.87
Energy relative to the elements (eV/atom): 0.029


No. 21
DFT (GGA-PBE) results for a relaxed Sr2ErReO8 crystal.

```
12
Lattice="4.671 0.000 0.000 -0.092 5.518 0.000 -1.638 -0.776 6.333" Properties=species:S:1:pos:R:3 pbc="T T T"
Sr -0.027 -0.161 1.767
Sr 2.968 4.904 4.566
Er 2.289 2.759 0.000
Re 1.470 2.371 3.166
O 0.591 2.254 1.391
O 0.158 1.353 4.091
O 0.575 3.942 3.595
O 1.686 5.016 0.016
O 1.254 -0.273 6.316
O 2.365 0.800 2.738
O 2.782 3.390 2.241
O 2.350 2.489 4.941
```

Calculated total energy (eV per atom): -7.219
Magnetization (μB per formula unit): 0.00
Crystal system: triclinic


No. 22
DFT (GGA-PBE) results for a relaxed Ca2TaTe crystal.

```
4
Lattice="4.773 0.000 0.000 0.000 1.925 6.070 0.000 -1.925 6.070" Properties=species:S:1:pos:R:3 pbc="T T T"
Ca 0.000 0.000 0.000
Ca 2.387 0.000 3.820
Ta 2.387 0.000 7.215
Te 0.000 0.000 8.719
```

Calculated total energy (eV per atom): -4.686
Magnetization (μB per formula unit): 0.00
Crystal system: orthorhombic
DOS at the Fermi energy (states/eV/atom): 1.16


No. 23
DFT (GGA-PBE) results for a relaxed Ca2TcI crystal.

```
8
Lattice="-4.067 4.067 3.732 4.067 -4.067 3.732 4.067 4.067 -3.732" Properties=species:S:1:pos:R:3 pbc="T T T"
Ca 2.034 1.822 -0.933
Ca 2.245 -2.034 4.665
Ca 2.034 2.245 2.799
Ca 1.822 6.101 0.933
Tc 0.000 0.000 0.000
Tc 0.000 4.067 1.866
I 4.067 0.000 1.866
I 0.000 0.000 3.732
```

Calculated total energy (eV per atom): -3.556
Magnetization (μB per formula unit): 2.00
Energy relative to the lowest polymorph listed for this composition (meV per atom): 100
Crystal system: tetragonal
DOS at the Fermi energy (states/eV/atom): 0.64


No. 24
DFT (GGA-PBE) results for a relaxed BaIn crystal.

```
8
Lattice="6.962 0.000 0.000 0.000 6.962 0.000 0.000 0.000 7.253" Properties=species:S:1:pos:R:3 pbc="T T T"
Ba 1.296 1.296 0.000
Ba 2.185 4.777 3.627
Ba 4.777 2.185 3.627
Ba 5.666 5.666 0.000
In 1.096 1.096 3.627
In 2.385 4.577 0.000
In 4.577 2.385 0.000
In 5.866 5.866 3.627
```

Calculated total energy (eV per atom): -2.519
Magnetization (μB per formula unit): 0.00
Crystal system: tetragonal
DOS at the Fermi energy (states/eV/atom): 0.96
Energy relative to the elements (eV/atom): -0.188